First-principles (PBE) data for a relaxed structure of ZnTcIr3, as listed in Alexandria via LeMat-Bulk.

The structure in POSCAR format:
```
ZnTcIr3
1.0
4.467 0.000 0.000
0.000 4.467 0.000
0.000 0.000 4.467
Zn Tc Ir
1 1 3
direct
0.000 0.000 0.000
0.500 0.500 0.500
0.000 0.000 0.500
0.000 0.500 0.000
0.500 0.000 0.000
```

VASP energy: -5.956 eV per atom
SG: No. 221
DOS at the Fermi energy: 1.4440 states/eV/atom